Record 1
This record from OQMD via LeMat-Bulk describes an optimized crystal structure of LuZr. The functional is PBE.

Energy of formation, meV per atom: 2303.3
Final energy, eV/atom: -4.232

a b c (Å): 4.537 4.537 4.537
angles (deg): 60.00 60.00 60.00
Sites, in units of the cell vectors:
Lu (0.000, 0.000, 0.000)
Zr (0.750, 0.750, 0.750)


Record 2
This record from OQMD via LeMat-Bulk describes an optimized crystal structure of LuZr2. The functional is PBE.

Energy of formation, meV per atom: 20.1
Final energy, eV/atom: -7.186

a b c (Å): 8.763 8.763 5.230
angles (deg): 90.00 90.00 158.18
Sites, in units of the cell vectors:
Lu (0.111, 0.889, 0.750)
Lu (0.889, 0.111, 0.250)
Zr (0.220, 0.780, 0.250)
Zr (0.444, 0.556, 0.750)
Zr (0.556, 0.444, 0.250)
Zr (0.780, 0.220, 0.750)


Record 3
This record from OQMD via LeMat-Bulk describes an optimized crystal structure of LuZr. The functional is PBE.

Energy of formation, meV per atom: 23.3
Final energy, eV/atom: -6.512

a b c (Å): 5.273 17.495 6.789
angles (deg): 90.00 90.00 90.00
Sites, in units of the cell vectors:
Lu (0.250, 0.056, 0.000)
Lu (0.250, 0.220, 0.254)
Lu (0.250, 0.222, 0.747)
Lu (0.250, 0.556, 0.751)
Lu (0.250, 0.721, 0.497)
Lu (0.250, 0.722, 0.004)
Lu (0.750, 0.278, 0.004)
Lu (0.750, 0.279, 0.497)
Lu (0.750, 0.444, 0.751)
Lu (0.750, 0.778, 0.747)
Lu (0.750, 0.780, 0.254)
Lu (0.750, 0.944, 0.000)
Zr (0.250, 0.052, 0.500)
Zr (0.250, 0.393, 0.019)
Zr (0.250, 0.394, 0.482)
Zr (0.250, 0.552, 0.250)
Zr (0.250, 0.893, 0.733)
Zr (0.250, 0.894, 0.268)
Zr (0.750, 0.106, 0.268)
Zr (0.750, 0.107, 0.733)
Zr (0.750, 0.448, 0.250)
Zr (0.750, 0.606, 0.482)
Zr (0.750, 0.607, 0.019)
Zr (0.750, 0.948, 0.500)


Record 4
This record from OQMD via LeMat-Bulk describes an optimized crystal structure of LuZr3. The functional is PBE.

Energy of formation, meV per atom: 4.6
Excess energy over the best structure of this formula in the dataset, meV/atom: 2
Final energy, eV/atom: -7.537

a b c (Å): 5.225 6.572 5.693
angles (deg): 90.00 90.00 90.00
Sites, in units of the cell vectors:
Lu (0.250, 0.250, 0.163)
Lu (0.750, 0.750, 0.837)
Zr (0.250, 0.003, 0.665)
Zr (0.250, 0.497, 0.665)
Zr (0.250, 0.750, 0.176)
Zr (0.750, 0.250, 0.824)
Zr (0.750, 0.503, 0.335)
Zr (0.750, 0.997, 0.335)


Record 5
This record from OQMD via LeMat-Bulk describes an optimized crystal structure of LuZr. The functional is PBE.

Energy of formation, meV per atom: 22.2
Final energy, eV/atom: -6.513

a b c (Å): 5.822 5.293 6.699
angles (deg): 90.00 90.00 90.00
Sites, in units of the cell vectors:
Lu (0.088, 0.250, 0.124)
Lu (0.412, 0.750, 0.624)
Lu (0.588, 0.250, 0.376)
Lu (0.912, 0.750, 0.876)
Zr (0.077, 0.250, 0.625)
Zr (0.423, 0.750, 0.125)
Zr (0.577, 0.250, 0.875)
Zr (0.923, 0.750, 0.375)


Record 6
This record from OQMD via LeMat-Bulk describes an optimized crystal structure of MgMo. The functional is PBE.

Excess energy over the best structure of this formula in the dataset, meV/atom: 0
Final energy, eV/atom: -6.000

a b c (Å): 7.443 7.443 7.443
angles (deg): 144.26 144.26 51.44
Sites, in units of the cell vectors:
Mg (0.000, 0.500, 0.500)
Mg (0.131, 0.131, 0.000)
Mg (0.500, 0.000, 0.500)
Mg (0.869, 0.869, 0.000)
Mo (0.250, 0.750, 0.500)
Mo (0.355, 0.355, 0.000)
Mo (0.645, 0.645, 0.000)
Mo (0.750, 0.250, 0.500)


Question: Which value of final energy does entry 2 give?
Answer: -7.186 eV/atom


Question: Which formula does entry 5 have?
Answer: LuZr


Question: Which of these has the highest final energy?
Answer: number 1